Compound: Cd2Pd2Cl
Source: the Alexandria database
Functional: PBE
Structure: relaxed

Summary:
Final energy = -3.06 eV per atom
ΔE_f (raw) = -0.248 eV/atom
Symmetry = P4/mbm

CIF file:
```
data_Cd2Pd2Cl
_cell_length_a 7.717
_cell_length_b 7.717
_cell_length_c 3.262
_cell_angle_alpha 90.00
_cell_angle_beta 90.00
_cell_angle_gamma 90.00
_symmetry_space_group_name_H-M 'P 1'
_symmetry_Int_Tables_number 1
loop_
_symmetry_equiv_pos_as_xyz
'x,y,z'
loop_
_atom_site_label
_atom_site_fract_x
_atom_site_fract_y
_atom_site_fract_z
_atom_site_occupancy
Pd1 0.129 0.371 0.000 1
Pd2 0.871 0.629 0.000 1
Pd3 0.371 0.871 0.000 1
Pd4 0.629 0.129 0.000 1
Cl1 0.000 0.000 0.000 1
Cl2 0.500 0.500 0.000 1
Cd1 0.333 0.167 0.500 1
Cd2 0.833 0.333 0.500 1
Cd3 0.667 0.833 0.500 1
Cd4 0.167 0.667 0.500 1
```